<P>
# MnHSCl2

MnHSCl2 after structural relaxation (PBE, Alexandria via LeMat-Bulk).

```
data_MnHSCl2
_chemical_formula_sum 'Mn1 H1 S1 Cl2'
_cell_length_a 4.839
_cell_length_b 4.839
_cell_length_c 4.467
_cell_angle_alpha 90.00
_cell_angle_beta 90.00
_cell_angle_gamma 90.00
_space_group_name_H-M_alt 'P 1'
_space_group_IT_number 1
_space_group_name_Hall 'P 1'
loop_
_atom_site_label
_atom_site_fract_x
_atom_site_fract_y
_atom_site_fract_z
S1 0.000 0.000 0.500
Cl1 0.000 0.500 0.000
Cl2 0.500 0.000 0.000
H1 0.500 0.500 0.500
Mn1 0.000 0.000 0.000
```

<Q>
# MnHSCl2

MnHSCl2 after structural relaxation (PBE, Alexandria via LeMat-Bulk).

```
data_MnHSCl2
_chemical_formula_sum 'Mn1 H1 S1 Cl2'
_cell_length_a 5.023
_cell_length_b 5.023
_cell_length_c 3.271
_cell_angle_alpha 90.00
_cell_angle_beta 90.00
_cell_angle_gamma 90.00
_space_group_name_H-M_alt 'P 1'
_space_group_IT_number 1
_space_group_name_Hall 'P 1'
loop_
_atom_site_label
_atom_site_fract_x
_atom_site_fract_y
_atom_site_fract_z
H1 0.000 0.000 0.000
Cl1 0.500 0.000 0.000
Cl2 0.000 0.500 0.000
S1 0.000 0.000 0.500
Mn1 0.500 0.500 0.500
```

Which of them is most stable, and which least? Most stable: <P>; least stable: <Q>.

<P>
# MoHCl2

MoHCl2 after structural relaxation (PBE, Alexandria via LeMat-Bulk).

```
data_MoHCl2
_chemical_formula_sum 'Mo1 H1 Cl2'
_cell_length_a 7.436
_cell_length_b 7.436
_cell_length_c 7.436
_cell_angle_alpha 23.80
_cell_angle_beta 23.80
_cell_angle_gamma 23.80
_space_group_name_H-M_alt 'P 1'
_space_group_IT_number 1
_space_group_name_Hall 'P 1'
loop_
_atom_site_label
_atom_site_fract_x
_atom_site_fract_y
_atom_site_fract_z
Mo1 0.000 0.000 0.000
H1 0.500 0.500 0.500
Cl1 0.105 0.105 0.105
Cl2 0.895 0.895 0.895
```

<Q>
# MoHCl2

MoHCl2 after structural relaxation (PBE, Alexandria via LeMat-Bulk).

```
data_MoHCl2
_chemical_formula_sum 'Mo1 H1 Cl2'
_cell_length_a 9.462
_cell_length_b 9.462
_cell_length_c 9.462
_cell_angle_alpha 19.28
_cell_angle_beta 19.28
_cell_angle_gamma 19.28
_space_group_name_H-M_alt 'P 1'
_space_group_IT_number 1
_space_group_name_Hall 'P 1'
loop_
_atom_site_label
_atom_site_fract_x
_atom_site_fract_y
_atom_site_fract_z
Cl1 0.894 0.894 0.894
Cl2 0.106 0.106 0.106
Mo1 0.500 0.500 0.500
H1 0.000 0.000 0.000
```

Which of them is most stable, and which least? Most stable: <Q>; least stable: <P>.

<P>
# MoHCl3

MoHCl3 after structural relaxation (PBE, Alexandria via LeMat-Bulk).

```
data_MoHCl3
_chemical_formula_sum 'Mo4 H4 Cl12'
_cell_length_a 6.920
_cell_length_b 7.227
_cell_length_c 11.799
_cell_angle_alpha 89.86
_cell_angle_beta 89.71
_cell_angle_gamma 61.39
_space_group_name_H-M_alt 'P 1'
_space_group_IT_number 1
_space_group_name_Hall 'P 1'
loop_
_atom_site_label
_atom_site_fract_x
_atom_site_fract_y
_atom_site_fract_z
Mo1 0.086 0.952 0.349
Mo2 0.038 0.048 0.849
Mo3 0.914 0.048 0.651
Mo4 0.962 0.952 0.151
Cl1 0.689 0.172 0.291
Cl2 0.311 0.828 0.709
Cl3 0.786 0.762 0.105
Cl4 0.991 0.776 0.503
Cl5 0.767 0.224 0.003
Cl6 0.861 0.828 0.791
Cl7 0.233 0.776 0.997
Cl8 0.214 0.238 0.895
Cl9 0.452 0.762 0.395
Cl10 0.009 0.224 0.497
Cl11 0.548 0.238 0.605
Cl12 0.139 0.172 0.209
H1 0.215 0.780 0.220
H2 0.995 0.220 0.720
H3 0.785 0.220 0.780
H4 0.005 0.780 0.280
```

<Q>
# MoHCl3

MoHCl3 after structural relaxation (PBE, Alexandria via LeMat-Bulk).

```
data_MoHCl3
_chemical_formula_sum 'Mo1 H1 Cl3'
_cell_length_a 4.377
_cell_length_b 4.377
_cell_length_c 4.377
_cell_angle_alpha 90.00
_cell_angle_beta 90.00
_cell_angle_gamma 90.00
_space_group_name_H-M_alt 'P 1'
_space_group_IT_number 1
_space_group_name_Hall 'P 1'
loop_
_atom_site_label
_atom_site_fract_x
_atom_site_fract_y
_atom_site_fract_z
Mo1 0.500 0.500 0.500
Cl1 0.500 0.000 0.000
Cl2 0.000 0.000 0.500
Cl3 0.000 0.500 0.000
H1 0.000 0.000 0.000
```

Which of them is most stable, and which least? Most stable: <P>; least stable: <Q>.

<P>
# Mo2HCl

Mo2HCl after structural relaxation (PBE, Alexandria via LeMat-Bulk).

```
data_Mo2HCl
_chemical_formula_sum 'Mo2 H1 Cl1'
_cell_length_a 4.107
_cell_length_b 4.107
_cell_length_c 4.107
_cell_angle_alpha 60.00
_cell_angle_beta 60.00
_cell_angle_gamma 60.00
_space_group_name_H-M_alt 'P 1'
_space_group_IT_number 1
_space_group_name_Hall 'P 1'
loop_
_atom_site_label
_atom_site_fract_x
_atom_site_fract_y
_atom_site_fract_z
H1 0.000 0.000 0.000
Cl1 0.500 0.500 0.500
Mo1 0.750 0.750 0.750
Mo2 0.250 0.250 0.250
```

<Q>
# Mo2HCl

Mo2HCl after structural relaxation (PBE, Alexandria via LeMat-Bulk).

```
data_Mo2HCl
_chemical_formula_sum 'Mo4 H2 Cl2'
_cell_length_a 4.736
_cell_length_b 4.736
_cell_length_c 6.063
_cell_angle_alpha 67.01
_cell_angle_beta 67.01
_cell_angle_gamma 90.00
_space_group_name_H-M_alt 'P 1'
_space_group_IT_number 1
_space_group_name_Hall 'P 1'
loop_
_atom_site_label
_atom_site_fract_x
_atom_site_fract_y
_atom_site_fract_z
Cl1 0.750 0.250 0.500
Cl2 0.000 0.000 0.000
Mo1 0.509 0.125 0.250
Mo2 0.241 0.625 0.250
Mo3 0.375 0.491 0.750
Mo4 0.875 0.759 0.750
H1 0.250 0.750 0.500
H2 0.500 0.500 0.000
```

Which of them is most stable, and which least? Most stable: <Q>; least stable: <P>.

<P>
# MoHSCl2

MoHSCl2 after structural relaxation (PBE, Alexandria via LeMat-Bulk).

```
data_MoHSCl2
_chemical_formula_sum 'Mo1 H1 S1 Cl2'
_cell_length_a 4.972
_cell_length_b 4.972
_cell_length_c 3.237
_cell_angle_alpha 90.00
_cell_angle_beta 90.00
_cell_angle_gamma 90.00
_space_group_name_H-M_alt 'P 1'
_space_group_IT_number 1
_space_group_name_Hall 'P 1'
loop_
_atom_site_label
_atom_site_fract_x
_atom_site_fract_y
_atom_site_fract_z
H1 0.000 0.000 0.000
Cl1 0.000 0.500 0.000
Cl2 0.500 0.000 0.000
Mo1 0.500 0.500 0.500
S1 0.000 0.000 0.500
```

<Q>
# MoHSCl2

MoHSCl2 after structural relaxation (PBE, Alexandria via LeMat-Bulk).

```
data_MoHSCl2
_chemical_formula_sum 'Mo1 H1 S1 Cl2'
_cell_length_a 4.912
_cell_length_b 4.912
_cell_length_c 4.588
_cell_angle_alpha 90.00
_cell_angle_beta 90.00
_cell_angle_gamma 90.00
_space_group_name_H-M_alt 'P 1'
_space_group_IT_number 1
_space_group_name_Hall 'P 1'
loop_
_atom_site_label
_atom_site_fract_x
_atom_site_fract_y
_atom_site_fract_z
Cl1 0.000 0.500 0.000
Cl2 0.500 0.000 0.000
S1 0.000 0.000 0.500
H1 0.500 0.500 0.500
Mo1 0.000 0.000 0.000
```

Which of them is most stable, and which least? Most stable: <Q>; least stable: <P>.

<P>
# MoHS2Cl

MoHS2Cl after structural relaxation (PBE, Alexandria via LeMat-Bulk).

```
data_MoHS2Cl
_chemical_formula_sum 'Mo1 H1 S2 Cl1'
_cell_length_a 3.778
_cell_length_b 3.778
_cell_length_c 5.461
_cell_angle_alpha 90.00
_cell_angle_beta 90.00
_cell_angle_gamma 90.00
_space_group_name_H-M_alt 'P 1'
_space_group_IT_number 1
_space_group_name_Hall 'P 1'
loop_
_atom_site_label
_atom_site_fract_x
_atom_site_fract_y
_atom_site_fract_z
Mo1 0.500 0.500 0.500
Cl1 0.000 0.000 0.500
S1 0.500 0.000 0.000
S2 0.000 0.500 0.000
H1 0.000 0.000 0.000
```

<Q>
# MoHS2Cl

MoHS2Cl after structural relaxation (PBE, Alexandria via LeMat-Bulk).

```
data_MoHS2Cl
_chemical_formula_sum 'Mo1 H1 S2 Cl1'
_cell_length_a 4.628
_cell_length_b 4.628
_cell_length_c 4.985
_cell_angle_alpha 90.00
_cell_angle_beta 90.00
_cell_angle_gamma 90.00
_space_group_name_H-M_alt 'P 1'
_space_group_IT_number 1
_space_group_name_Hall 'P 1'
loop_
_atom_site_label
_atom_site_fract_x
_atom_site_fract_y
_atom_site_fract_z
H1 0.500 0.500 0.500
S1 0.000 0.500 0.000
S2 0.500 0.000 0.000
Mo1 0.000 0.000 0.000
Cl1 0.000 0.000 0.500
```

Which of them is most stable, and which least? Most stable: <Q>; least stable: <P>.

<P>
# Sn2MoHCl

Sn2MoHCl after structural relaxation (PBE, Alexandria via LeMat-Bulk).

```
data_Sn2MoHCl
_chemical_formula_sum 'Sn2 Mo1 H1 Cl1'
_cell_length_a 5.425
_cell_length_b 5.425
_cell_length_c 3.537
_cell_angle_alpha 90.00
_cell_angle_beta 90.00
_cell_angle_gamma 90.00
_space_group_name_H-M_alt 'P 1'
_space_group_IT_number 1
_space_group_name_Hall 'P 1'
loop_
_atom_site_label
_atom_site_fract_x
_atom_site_fract_y
_atom_site_fract_z
Sn1 0.500 0.000 0.000
Sn2 0.000 0.500 0.000
Mo1 0.000 0.000 0.000
Cl1 0.500 0.500 0.500
H1 0.000 0.000 0.500
```

<Q>
# Sn2MoHCl

Sn2MoHCl after structural relaxation (PBE, Alexandria via LeMat-Bulk).

```
data_Sn2MoHCl
_chemical_formula_sum 'Sn2 Mo1 H1 Cl1'
_cell_length_a 5.557
_cell_length_b 5.557
_cell_length_c 4.397
_cell_angle_alpha 90.00
_cell_angle_beta 90.00
_cell_angle_gamma 90.00
_space_group_name_H-M_alt 'P 1'
_space_group_IT_number 1
_space_group_name_Hall 'P 1'
loop_
_atom_site_label
_atom_site_fract_x
_atom_site_fract_y
_atom_site_fract_z
H1 0.500 0.500 0.500
Mo1 0.000 0.000 0.500
Cl1 0.000 0.000 0.000
Sn1 0.000 0.500 0.000
Sn2 0.500 0.000 0.000
```

Which of them is most stable, and which least? Most stable: <P>; least stable: <Q>.

<P>
# H8PdN2Cl6

H8PdN2Cl6 after structural relaxation (PBE, Alexandria via LeMat-Bulk).

```
data_H8PdN2Cl6
_chemical_formula_sum 'H16 Pd2 N4 Cl12'
_cell_length_a 7.044
_cell_length_b 7.104
_cell_length_c 12.617
_cell_angle_alpha 56.29
_cell_angle_beta 90.00
_cell_angle_gamma 90.00
_space_group_name_H-M_alt 'P 1'
_space_group_IT_number 1
_space_group_name_Hall 'P 1'
loop_
_atom_site_label
_atom_site_fract_x
_atom_site_fract_y
_atom_site_fract_z
H1 0.525 0.595 0.259
H2 0.932 0.879 0.673
H3 0.855 0.228 0.255
H4 0.551 0.733 0.333
H5 0.645 0.228 0.755
H6 0.475 0.405 0.741
H7 0.568 0.879 0.173
H8 0.355 0.772 0.245
H9 0.975 0.595 0.759
H10 0.051 0.267 0.167
H11 0.949 0.733 0.833
H12 0.025 0.405 0.241
H13 0.068 0.121 0.327
H14 0.432 0.121 0.827
H15 0.145 0.772 0.745
H16 0.449 0.267 0.667
Cl1 0.020 0.749 0.223
Cl2 0.237 0.820 0.479
Cl3 0.480 0.749 0.723
Cl4 0.796 0.749 0.990
Cl5 0.737 0.180 0.021
Cl6 0.980 0.251 0.777
Cl7 0.296 0.251 0.510
Cl8 0.204 0.251 0.010
Cl9 0.704 0.749 0.490
Cl10 0.263 0.820 0.979
Cl11 0.763 0.180 0.521
Cl12 0.520 0.251 0.277
N1 0.000 0.255 0.247
N2 0.000 0.745 0.753
N3 0.500 0.745 0.253
N4 0.500 0.255 0.747
Pd1 0.500 0.000 0.500
Pd2 0.000 0.000 0.000
```

<Q>
# H8PdN2Cl6

H8PdN2Cl6 after structural relaxation (PBE, Alexandria via LeMat-Bulk).

```
data_H8PdN2Cl6
_chemical_formula_sum 'H8 Pd1 N2 Cl6'
_cell_length_a 7.065
_cell_length_b 7.065
_cell_length_c 7.065
_cell_angle_alpha 60.00
_cell_angle_beta 60.00
_cell_angle_gamma 60.00
_space_group_name_H-M_alt 'P 1'
_space_group_IT_number 1
_space_group_name_Hall 'P 1'
loop_
_atom_site_label
_atom_site_fract_x
_atom_site_fract_y
_atom_site_fract_z
Cl1 0.764 0.236 0.764
Cl2 0.764 0.236 0.236
Cl3 0.764 0.764 0.236
Cl4 0.236 0.764 0.236
Cl5 0.236 0.764 0.764
Cl6 0.236 0.236 0.764
H1 0.310 0.310 0.071
H2 0.310 0.310 0.310
H3 0.929 0.690 0.690
H4 0.071 0.310 0.310
H5 0.690 0.690 0.929
H6 0.690 0.929 0.690
H7 0.310 0.071 0.310
H8 0.690 0.690 0.690
N1 0.750 0.750 0.750
N2 0.250 0.250 0.250
Pd1 0.000 0.000 0.000
```

Which of them is most stable, and which least? Most stable: <P>; least stable: <Q>.